An optimized crystal structure of ZrGeIO2. Source: the Alexandria database, functional PBE.

a = 4.005 Å, b = 4.005 Å, c = 5.720 Å
α = 90.00°, β = 90.00°, γ = 90.00°
Fractional positions:
Zr (0.000, 0.000, 0.000)
Ge (0.500, 0.500, 0.500)
I (0.500, 0.500, 0.000)
O (0.000, 0.500, 0.500)
O (0.500, 0.000, 0.500)

Summary:
calculated total energy	-5.070	eV per atom
energy relative to the lowest polymorph listed for this composition	1.071	eV per atom
spin magnetization	1.24	μB per cell
DOS(E_F)	0.84	states/eV/atom